1.
Crystalline Y2NiP2 at its relaxed geometry. Source: Alexandria, functional PBE-GGA.

Summary:
DOS at the Fermi energy ... 2.27 states/eV per cell

Cell lengths 6.528, 6.528, 4.189 Å; angles 90.00, 90.00, 90.00 degrees
Space group P4/mbm (No. 127)
Unique sites:
Y 0.179 0.321 0.000 [4 per cell]
Ni 0.000 0.000 0.500 [2 per cell]
P 0.126 0.626 0.500 [4 per cell]

2.
Crystalline YNiP2 at its relaxed geometry. Source: Alexandria, functional PBE-GGA.

Summary:
DOS at the Fermi energy ... 1.56 states/eV per cell

Cell lengths 3.708, 3.813, 5.019 Å; angles 90.00, 90.00, 90.00 degrees
Space group Pmmm (No. 47)
Unique sites:
Y 0.000 0.000 0.000 [1 per cell]
Ni 0.000 0.500 0.500 [1 per cell]
P 0.500 0.500 0.253 [2 per cell]

Ordered ΔE_f results: -4.890, -3.417; unit eV/f.u..
Ordered volume results: 89.3, 71.0; unit Å³/f.u..